## Na3Sr2Cd2 (GGA-PBE)

Data for a geometry-optimized Na3Sr2Cd2 structure.

Summary:
- Formation energy from the elements: -150 meV/atom
- Crystal system: orthorhombic

Cell: 12.4523 12.4523 4.3821 Å, 90.00 90.00 157.34°
Last column: nearest neighbours and their distance in Å.
Fractional coordinates of all 7 atoms:
Na 0.0000 0.0000 0.0000  8 Na 3.78, 2 Sr 4.18
Na 0.4231 0.5769 0.5000  1 Cd 3.37, 1 Na 3.75
Na 0.5769 0.4231 0.5000  1 Cd 3.37, 1 Na 3.75
Sr 0.1714 0.8286 0.0000  6 Cd 3.45-3.54
Sr 0.8286 0.1714 0.0000  6 Cd 3.45-3.54
Cd 0.2853 0.7147 0.5000  2 Cd 2.99
Cd 0.7147 0.2853 0.5000  2 Cd 2.99

---

## CePm2MoN4 (GGA-PBE)

Data for a geometry-optimized CePm2MoN4 structure.

Summary:
- E_form (uncorrected): -1011 meV/atom
- Crystal system: orthorhombic

Cell: 6.2503 6.2503 12.1704 Å, 90.00 90.00 147.83°
Last column: nearest neighbours and their distance in Å.
Fractional coordinates of all 16 atoms:
Ce 0.0978 0.9022 0.7500  6 N 2.55-2.76
Ce 0.9022 0.0978 0.2500  6 N 2.55-2.76
Pm 0.3693 0.6307 0.5398  5 N 2.39-2.65
Pm 0.3693 0.6307 0.9602  5 N 2.39-2.65
Pm 0.6307 0.3693 0.0398  5 N 2.39-2.65
Pm 0.6307 0.3693 0.4602  5 N 2.39-2.65
Mo 0.1627 0.8373 0.2500  4 N 1.93-2.14
Mo 0.8373 0.1627 0.7500  4 N 1.93-2.14
N 0.0000 0.0000 0.0000  4 Pm 2.39
N 0.0000 0.0000 0.5000  4 Pm 2.39
N 0.2689 0.7311 0.1315  1 Mo 1.93
N 0.2689 0.7311 0.3685  1 Mo 1.93
N 0.4422 0.5578 0.7500  2 Mo 2.14
N 0.5578 0.4422 0.2500  2 Mo 2.14
N 0.7311 0.2689 0.6315  1 Mo 1.93
N 0.7311 0.2689 0.8685  1 Mo 1.93

---

## BaSnTe3 (GGA-PBE)

Data for a geometry-optimized BaSnTe3 structure.

Summary:
- E_form (uncorrected): -696 meV/atom
- Offset from the most stable computed form: 0.23 eV/f.u.
- Crystal system: monoclinic

Cell: 8.9665 4.4860 9.6790 Å, 90.00 101.07 90.00°
Last column: nearest neighbours and their distance in Å.
Fractional coordinates of all 10 atoms:
Ba 0.1841 0.2500 0.2872  8 Te 3.52-3.66
Ba 0.8159 0.7500 0.7128  8 Te 3.52-3.66
Sn 0.3141 0.7500 0.8618  6 Te 2.96-3.14
Sn 0.6859 0.2500 0.1382  6 Te 2.96-3.14
Te 0.0988 0.2500 0.9156  2 Sn 3.07
Te 0.1460 0.7500 0.5666  1 Sn 2.96
Te 0.4521 0.7500 0.1760  3 Sn 3.06-3.14
Te 0.5479 0.2500 0.8240  3 Sn 3.06-3.14
Te 0.8540 0.2500 0.4334  1 Sn 2.96
Te 0.9012 0.7500 0.0844  2 Sn 3.07

---

## CoTcSe2 (GGA-PBE)

Data for a geometry-optimized CoTcSe2 structure.

Summary:
- E_form (uncorrected): 75 meV/atom
- Offset from the most stable computed form: 1.39 eV/f.u.
- Crystal system: tetragonal

Cell: 6.6118 6.6118 6.6118 Å, 131.35 131.35 71.25°
Last column: nearest neighbours and their distance in Å.
Fractional coordinates of all 8 atoms:
Co 0.0000 0.0000 0.0000  4 Se 2.30
Co 0.7500 0.2500 0.5000  4 Se 2.30
Tc 0.2500 0.7500 0.5000  4 Se 2.40
Tc 0.5000 0.5000 0.0000  4 Se 2.40
Se 0.1087 0.6250 0.9837  2 Co 2.30, 2 Tc 2.40
Se 0.3750 0.3587 0.4837  2 Co 2.30, 2 Tc 2.40
Se 0.6413 0.1250 0.0163  2 Co 2.30, 2 Tc 2.40
Se 0.8750 0.8913 0.5163  2 Co 2.30, 2 Tc 2.40

---

## Ac2PPd3 (GGA-PBE)

Data for a geometry-optimized Ac2PPd3 structure.

Summary:
- Offset from the most stable computed form: 0.05 eV/f.u.
- Formation energy from the elements: -978 meV/atom
- Crystal system: orthorhombic

Cell: 8.9666 8.8049 6.0705 Å, 71.47 68.60 39.93°
Last column: nearest neighbours and their distance in Å.
Fractional coordinates of all 12 atoms:
Ac 0.2467 0.7533 0.7533  10 Pd 3.26-3.43, 2 P 3.33
Ac 0.2500 0.2500 0.2500  8 Pd 3.24-3.26, 4 P 3.30
Ac 0.7500 0.7500 0.7500  8 Pd 3.24-3.26, 4 P 3.30
Ac 0.7533 0.2467 0.2467  10 Pd 3.26-3.43, 2 P 3.33
P 0.3335 0.3335 0.6665  3 Pd 2.42-2.43
P 0.6665 0.6665 0.3335  3 Pd 2.42-2.43
Pd 0.1772 0.6467 0.3533  1 P 2.42
Pd 0.1775 0.1775 0.8225  1 P 2.43
Pd 0.3533 0.8228 0.1772  1 P 2.42
Pd 0.6467 0.1772 0.8228  1 P 2.42
Pd 0.8225 0.8225 0.1775  1 P 2.43
Pd 0.8228 0.3533 0.6467  1 P 2.42

---

## Tb7Y12Ho (GGA-PBE)

Data for a geometry-optimized Tb7Y12Ho structure.

Summary:
- Offset from the most stable computed form: 1.69 eV/f.u.
- Formation energy from the elements: 330 meV/atom
- Crystal system: trigonal

Cell: 10.9741 10.9741 10.9741 Å, 115.93 115.93 115.93°
Last column: nearest neighbours and their distance in Å.
Fractional coordinates of all 20 atoms:
Tb 0.0000 0.0000 0.0000  2 Ho 3.37, 6 Tb 3.42
Tb 0.1315 0.4340 0.2963  1 Ho 3.16, 4 Y 3.17-3.52, 1 Tb 3.42
Tb 0.2963 0.1315 0.4340  1 Ho 3.16, 4 Y 3.17-3.52, 1 Tb 3.42
Tb 0.4340 0.2963 0.1315  1 Ho 3.16, 4 Y 3.17-3.52, 1 Tb 3.42
Tb 0.5660 0.7037 0.8685  1 Ho 3.16, 4 Y 3.17-3.52, 1 Tb 3.42
Tb 0.7037 0.8685 0.5660  1 Ho 3.16, 4 Y 3.17-3.52, 1 Tb 3.42
Tb 0.8685 0.5660 0.7037  1 Ho 3.16, 4 Y 3.17-3.52, 1 Tb 3.42
Y 0.0037 0.7927 0.5813  4 Y 3.21-3.51, 3 Tb 3.41-3.58
Y 0.2073 0.4187 0.9963  4 Y 3.21-3.51, 3 Tb 3.41-3.58
Y 0.2326 0.7549 0.3002  2 Tb 3.17-3.32, 5 Y 3.21-3.51
Y 0.2451 0.6998 0.7674  2 Tb 3.17-3.32, 5 Y 3.21-3.51
Y 0.3002 0.2326 0.7549  2 Tb 3.17-3.32, 5 Y 3.21-3.51
Y 0.4187 0.9963 0.2073  4 Y 3.21-3.51, 3 Tb 3.41-3.58
Y 0.5813 0.0037 0.7927  4 Y 3.21-3.51, 3 Tb 3.41-3.58
Y 0.6998 0.7674 0.2451  2 Tb 3.17-3.32, 5 Y 3.21-3.51
Y 0.7549 0.3002 0.2326  2 Tb 3.17-3.32, 5 Y 3.21-3.51
Y 0.7674 0.2451 0.6998  2 Tb 3.17-3.32, 5 Y 3.21-3.51
Y 0.7927 0.5813 0.0037  4 Y 3.21-3.51, 3 Tb 3.41-3.58
Y 0.9963 0.2073 0.4187  4 Y 3.21-3.51, 3 Tb 3.41-3.58
Ho 0.5000 0.5000 0.5000  8 Tb 3.16-3.37

---

## ThSc3As4 (GGA-PBE)

Data for a geometry-optimized ThSc3As4 structure.

Summary:
- Formation energy from the elements: -1362 meV/atom
- Crystal system: orthorhombic

Cell: 6.9018 6.9018 4.0097 Å, 90.00 90.00 109.55°
Last column: nearest neighbours and their distance in Å.
Fractional coordinates of all 8 atoms:
Th 0.0000 0.0000 0.0000  6 As 2.91-2.92
Sc 0.0000 0.5000 0.5000  6 As 2.82-2.83
Sc 0.5000 0.0000 0.5000  6 As 2.82-2.83
Sc 0.5000 0.5000 0.0000  6 As 2.73
As 0.2581 0.7419 0.0000  5 Sc 2.73-2.83, 1 Th 2.91
As 0.2673 0.2673 0.5000  4 Sc 2.73-2.82, 2 Th 2.92
As 0.7327 0.7327 0.5000  4 Sc 2.73-2.82, 2 Th 2.92
As 0.7419 0.2581 0.0000  5 Sc 2.73-2.83, 1 Th 2.91

---

## LiPm2Be4Pt3 (GGA-PBE)

Data for a geometry-optimized LiPm2Be4Pt3 structure.

Summary:
- Formation energy from the elements: -643 meV/atom
- Crystal system: tetragonal

Cell: 4.1422 4.1422 9.2717 Å, 90.00 90.00 90.00°
Last column: nearest neighbours and their distance in Å.
Fractional coordinates of all 10 atoms:
Li 0.0000 0.0000 0.0000  4 Be 2.36
Pm 0.0000 0.5000 0.7476  8 Be 3.09-3.16, 2 Li 3.12, 7 Pt 3.12-3.45
Pm 0.5000 0.0000 0.2524  8 Be 3.09-3.16, 7 Pt 3.12-3.45, 2 Li 3.12
Be 0.0000 0.0000 0.5000  4 Pt 2.37
Be 0.0000 0.5000 0.1231  3 Pt 2.34-2.36, 2 Li 2.36
Be 0.5000 0.0000 0.8769  3 Pt 2.34-2.36, 2 Li 2.36
Be 0.5000 0.5000 0.5000  4 Pt 2.37
Pt 0.0000 0.5000 0.3758  5 Be 2.34-2.37
Pt 0.5000 0.0000 0.6242  5 Be 2.34-2.37
Pt 0.5000 0.5000 0.0000  4 Be 2.36